VASP calculation (PBE) on a relaxed Cs3AgCl4 crystal.

Cell: 9.631 10.465 11.876 Å, 90.00 90.00 90.00°
Atoms (fractional coordinates):
Cs 0.387 0.569 0.750
Cs 0.887 0.931 0.750
Cs 0.613 0.431 0.250
Cs 0.113 0.069 0.250
Cs 0.472 0.796 0.044
Cs 0.972 0.704 0.456
Cs 0.528 0.204 0.544
Cs 0.028 0.296 0.956
Cs 0.528 0.204 0.956
Cs 0.028 0.296 0.544
Cs 0.472 0.796 0.456
Cs 0.972 0.704 0.044
Ag 0.285 0.001 0.750
Ag 0.785 0.499 0.750
Ag 0.715 0.999 0.250
Ag 0.215 0.501 0.250
Cl 0.186 0.975 0.550
Cl 0.686 0.525 0.950
Cl 0.814 0.025 0.050
Cl 0.314 0.475 0.450
Cl 0.814 0.025 0.450
Cl 0.314 0.475 0.050
Cl 0.186 0.975 0.950
Cl 0.686 0.525 0.550
Cl 0.287 0.261 0.750
Cl 0.787 0.239 0.750
Cl 0.713 0.739 0.250
Cl 0.213 0.761 0.250
Cl 0.528 0.887 0.750
Cl 0.028 0.613 0.750
Cl 0.472 0.113 0.250
Cl 0.972 0.387 0.250

Summary:
V (Å³/atom): 37.40
Relative energy among the computed polymorphs (meV per atom): 0
Symmetry: Pnma
Crystal system: orthorhombic

---

VASP calculation (PBE) on a relaxed Cs6AgCl5 crystal.

Cell: 8.786 8.801 8.791 Å, 59.96 80.37 70.48°
Atoms (fractional coordinates):
Cs 0.744 0.085 0.347
Cs 0.256 0.568 0.347
Cs 0.258 0.260 0.000
Cs 0.742 0.740 0.000
Cs 0.744 0.432 0.653
Cs 0.256 0.915 0.653
Ag 0.000 0.000 0.000
Cl 0.500 0.164 0.671
Cl 0.000 0.333 0.335
Cl 0.500 0.500 0.000
Cl 0.000 0.667 0.665
Cl 0.500 0.836 0.329

Summary:
V (Å³/atom): 46.22
Symmetry: C2/m
Crystal system: monoclinic

---

VASP calculation (PBE) on a relaxed CsAg3Cl8 crystal.

Cell: 6.873 6.873 9.301 Å, 90.00 90.00 120.00°
Atoms (fractional coordinates):
Cs 0.000 0.000 0.500
Ag 0.667 0.333 0.782
Ag 0.333 0.667 0.218
Ag 0.000 0.000 0.000
Cl 0.707 0.993 0.159
Cl 0.286 0.293 0.159
Cl 0.007 0.714 0.159
Cl 0.293 0.007 0.841
Cl 0.714 0.707 0.841
Cl 0.993 0.286 0.841
Cl 0.667 0.333 0.523
Cl 0.333 0.667 0.477

Summary:
V (Å³/atom): 31.71
Symmetry: P-3
Crystal system: trigonal

---

ΔE_f (raw) across the listed records, respectively: -1.580; -1.615; -0.492 eV/atom.